# 1
The following is a DFT calculation (PBE) of a relaxed TaGe2IF crystal.

Cell and atoms, written as extended XYZ:
```
5
Lattice="5.214 0.000 0.000 0.000 5.214 0.000 0.000 0.000 4.009" Properties=species:S:1:pos:R:3 pbc="T T T"
Ta 0.000 0.000 0.000
Ge 0.000 2.607 2.005
Ge 2.607 0.000 2.005
I 2.607 2.607 0.000
F 0.000 0.000 2.005
```

Output
As for the symmetry: P4/mmm, No. 123. For the density of states at the Fermi level, the calculation gives 4.361 states/eV/cell. The value obtained for the energy relative to the elements, uncorrected is 0.400 eV per atom.


# 2
The following is a DFT calculation (PBE) of a relaxed GeTeI2F crystal.

Cell and atoms, written as extended XYZ:
```
5
Lattice="5.631 0.000 0.000 0.000 5.631 0.000 0.000 0.000 5.563" Properties=species:S:1:pos:R:3 pbc="T T T"
Ge 0.000 0.000 0.000
Te 0.000 0.000 2.781
I 0.000 2.815 0.000
I 2.815 0.000 0.000
F 2.815 2.815 2.781
```

Output
The distance to the lowest polymorph of the same formula comes out at 2.00 kcal/mol of atoms. As for the symmetry: P4/mmm, No. 123. For the density of states at the Fermi level, the calculation gives 10.528 states/eV/cell. The value obtained for the energy relative to the elements, uncorrected is 0.164 eV per atom.


# 3
The following is a DFT calculation (PBE) of a relaxed GeTeI2F crystal.

Cell and atoms, written as extended XYZ:
```
5
Lattice="5.946 0.000 0.000 0.000 5.946 0.000 0.000 0.000 4.234" Properties=species:S:1:pos:R:3 pbc="T T T"
Ge 0.000 0.000 0.000
Te 2.973 2.973 0.000
I 0.000 2.973 2.117
I 2.973 0.000 2.117
F 2.973 2.973 2.117
```

Output
The distance to the lowest polymorph of the same formula comes out at 0.00 kcal/mol of atoms. As for the symmetry: P4/mmm, No. 123. For the density of states at the Fermi level, the calculation gives 5.093 states/eV/cell. The value obtained for the energy relative to the elements, uncorrected is 0.077 eV per atom.


# 4
The following is a DFT calculation (PBE) of a relaxed TlGeI2F crystal.

Cell and atoms, written as extended XYZ:
```
5
Lattice="6.061 0.000 0.000 0.000 6.061 0.000 0.000 0.000 4.303" Properties=species:S:1:pos:R:3 pbc="T T T"
Tl 0.000 0.000 0.000
Ge 3.031 3.031 2.151
I 0.000 3.031 2.151
I 3.031 0.000 2.151
F 3.031 3.031 0.000
```

Output
As for the symmetry: P4/mmm, No. 123. The value obtained for the energy relative to the elements, uncorrected is -0.923 eV per atom.


# 5
The following is a DFT calculation (PBE) of a relaxed InGeF5 crystal.

Cell and atoms, written as extended XYZ:
```
14
Lattice="5.371 -2.072 0.000 5.371 2.072 0.000 -2.133 0.000 10.744" Properties=species:S:1:pos:R:3 pbc="T T T"
In 3.771 1.039 8.058
In 4.837 -1.039 2.686
Ge 2.685 1.036 0.000
Ge 1.619 -1.036 5.372
F 2.489 1.040 6.381
F 2.108 1.038 9.350
F 4.837 1.033 2.686
F 5.433 1.038 6.766
F 5.053 1.040 9.735
F 3.555 -1.040 1.009
F 3.175 -1.038 3.978
F 3.771 -1.033 8.058
F 6.500 -1.038 1.394
F 6.119 -1.040 4.363
```

Output
As for the symmetry: C2/c, No. 15. For the density of states at the Fermi level, the calculation gives 0.000 states/eV/cell. The value obtained for the energy relative to the elements, uncorrected is -2.260 eV per atom.


# 6
The following is a DFT calculation (PBE) of a relaxed In3Ge5F12 crystal.

Cell and atoms, written as extended XYZ:
```
80
Lattice="-7.294 7.294 7.294 7.294 -7.294 7.294 7.294 7.294 -7.294" Properties=species:S:1:pos:R:3 pbc="T T T"
In 3.647 1.823 0.000
In 7.294 3.647 -1.823
In 1.823 0.000 3.647
In 9.117 0.000 3.647
In 0.000 3.647 1.823
In 3.647 -1.823 7.294
In 3.647 9.117 0.000
In 7.294 3.647 5.470
In -1.823 7.294 3.647
In 5.470 7.294 3.647
In 0.000 3.647 9.117
In 3.647 5.470 7.294
Ge 0.000 0.000 0.000
Ge 3.647 3.647 -3.647
Ge 3.647 -3.647 3.647
Ge 7.294 0.000 0.000
Ge 10.941 1.823 0.000
Ge 7.294 -3.647 5.470
Ge 5.470 7.294 -3.647
Ge 5.470 0.000 3.647
Ge 3.647 5.470 0.000
Ge 7.294 3.647 1.823
Ge -3.647 3.647 3.647
Ge 0.000 7.294 0.000
Ge 0.000 0.000 7.294
Ge 3.647 3.647 3.647
Ge 0.000 3.647 5.470
Ge 3.647 1.823 7.294
Ge 1.823 7.294 3.647
Ge 1.823 0.000 10.941
Ge 0.000 10.941 1.823
Ge -3.647 5.470 7.294
F 2.030 -0.628 0.811
F 8.911 4.458 -4.275
F 6.666 -0.811 2.030
F 11.569 -1.617 2.835
F 0.811 2.030 -0.628
F 10.129 3.019 -1.617
F 9.323 0.628 0.811
F 8.911 -2.835 4.275
F 4.458 4.275 -1.617
F 6.482 2.030 0.628
F -0.628 0.811 2.030
F 4.275 -1.617 4.458
F 6.666 6.482 -2.030
F 4.275 1.617 2.835
F 6.482 -2.030 6.666
F 4.458 -4.275 8.911
F 2.030 6.666 -0.811
F 8.911 2.835 3.019
F 2.835 4.275 1.617
F 8.105 5.264 0.628
F 4.275 8.911 -2.835
F 6.666 0.811 5.264
F 1.617 2.835 4.275
F 2.030 0.628 6.482
F 5.264 6.666 0.811
F 5.677 4.458 3.019
F 0.628 6.482 2.030
F 3.019 -1.617 10.129
F -0.811 2.030 6.666
F 4.458 3.019 5.677
F -1.617 4.458 4.275
F 5.264 0.628 8.105
F 2.835 11.569 -1.617
F 0.811 9.323 0.628
F 3.019 5.677 4.458
F 0.628 0.811 9.323
F 3.019 8.911 2.835
F 7.922 6.482 5.264
F 0.811 5.264 6.666
F 2.835 3.019 8.911
F -1.617 10.129 3.019
F -2.030 6.666 6.482
F -2.835 4.275 8.911
F 6.482 5.264 7.922
F -4.275 8.911 4.458
F 0.628 8.105 5.264
F -1.617 2.835 11.569
F 5.264 7.922 6.482
```

Output
As for the symmetry: Ia-3d, No. 230. For the density of states at the Fermi level, the calculation gives 20.925 states/eV/cell. The value obtained for the energy relative to the elements, uncorrected is -1.681 eV per atom.


# 7
The following is a DFT calculation (PBE) of a relaxed InGe2F crystal.

Cell and atoms, written as extended XYZ:
```
8
Lattice="-2.185 2.185 8.800 2.185 -2.185 8.800 2.185 2.185 -8.800" Properties=species:S:1:pos:R:3 pbc="T T T"
In 0.000 0.000 0.000
In 0.000 2.185 4.400
Ge 1.092 -0.707 6.600
Ge 1.478 1.092 2.200
Ge 1.092 2.892 -2.200
Ge 0.707 1.092 11.000
F 2.185 0.000 4.400
F 0.000 0.000 8.800
```

Output
The distance to the lowest polymorph of the same formula comes out at 0.00 kcal/mol of atoms. As for the symmetry: I-42d, No. 122. For the density of states at the Fermi level, the calculation gives 3.290 states/eV/cell. The value obtained for the energy relative to the elements, uncorrected is -0.370 eV per atom.


# 8
The following is a DFT calculation (PBE) of a relaxed In2GeF5 crystal.

Cell and atoms, written as extended XYZ:
```
8
Lattice="-3.196 3.196 4.144 3.196 -3.196 4.144 3.196 3.196 -4.144" Properties=species:S:1:pos:R:3 pbc="T T T"
In 3.196 0.000 0.000
In 0.000 3.196 0.000
Ge 0.000 0.000 2.558
F 0.000 0.000 0.755
F 1.815 1.815 -1.512
F 1.381 -1.381 2.632
F -1.381 1.381 2.632
F 1.381 1.381 2.632
```

Output
As for the symmetry: I4mm, No. 107. The value obtained for the energy relative to the elements, uncorrected is -1.868 eV per atom.


# 9
The following is a DFT calculation (PBE) of a relaxed InGe2F6 crystal.

Cell and atoms, written as extended XYZ:
```
18
Lattice="5.337 -6.057 0.000 5.337 6.057 0.000 -1.693 0.000 4.787" Properties=species:S:1:pos:R:3 pbc="T T T"
In 4.067 5.008 3.590
In 4.913 -5.008 1.197
Ge 2.351 1.501 4.187
Ge 3.198 -1.501 1.794
Ge 5.782 1.501 2.994
Ge 6.629 -1.501 0.600
F 0.609 1.208 3.193
F 2.614 3.479 4.092
F 1.455 -1.208 0.800
F 3.214 1.308 2.538
F 5.519 3.479 3.089
F 4.060 -1.308 0.145
F 4.920 1.308 4.643
F 3.461 -3.479 1.698
F 5.766 -1.308 2.249
F 7.525 1.208 3.988
F 6.366 -3.479 0.696
F 8.371 -1.208 1.594
```

Output
As for the symmetry: C2/c, No. 15. For the density of states at the Fermi level, the calculation gives 0.112 states/eV/cell. The value obtained for the energy relative to the elements, uncorrected is -2.058 eV per atom.


# 10
The following is a DFT calculation (PBE) of a relaxed In3GeF crystal.

Cell and atoms, written as extended XYZ:
```
5
Lattice="4.977 0.000 0.000 0.000 4.977 0.000 0.000 0.000 4.977" Properties=species:S:1:pos:R:3 pbc="T T T"
In 0.000 0.000 2.488
In 0.000 2.488 0.000
In 2.488 0.000 0.000
Ge 2.488 2.488 2.488
F 0.000 0.000 0.000
```

Output
The distance to the lowest polymorph of the same formula comes out at 0.00 kcal/mol of atoms. As for the symmetry: Pm-3m, No. 221. For the density of states at the Fermi level, the calculation gives 3.140 states/eV/cell. The value obtained for the energy relative to the elements, uncorrected is -0.338 eV per atom.


# 11
The following is a DFT calculation (PBE) of a relaxed In2GeF4 crystal.

Cell and atoms, written as extended XYZ:
```
7
Lattice="-2.241 2.241 6.847 2.241 -2.241 6.847 2.241 2.241 -6.847" Properties=species:S:1:pos:R:3 pbc="T T T"
In 0.000 0.000 2.107
In 0.000 0.000 11.587
Ge 0.000 0.000 6.847
F 2.241 0.000 0.000
F 0.000 0.000 4.582
F 0.000 2.241 0.000
F 0.000 0.000 9.112
```

Output
As for the symmetry: I4/mmm, No. 139. For the density of states at the Fermi level, the calculation gives 0.000 states/eV/cell. The value obtained for the energy relative to the elements, uncorrected is -1.740 eV per atom.


# 12
The following is a DFT calculation (PBE) of a relaxed InGeF6 crystal.

Cell and atoms, written as extended XYZ:
```
8
Lattice="2.745 1.585 4.811 -2.745 1.585 4.811 0.000 -3.170 4.811" Properties=species:S:1:pos:R:3 pbc="T T T"
In 0.000 0.000 0.000
Ge 0.000 0.000 7.217
F -0.528 -1.438 6.125
F -1.509 -0.262 8.309
F -0.981 1.176 6.125
F 0.981 -1.176 8.309
F 1.509 0.262 6.125
F 0.528 1.438 8.309
```

Output
As for the symmetry: R-3, No. 148. For the density of states at the Fermi level, the calculation gives 0.253 states/eV/cell. The value obtained for the energy relative to the elements, uncorrected is -2.312 eV per atom.


# 13
The following is a DFT calculation (PBE) of a relaxed In3GeF crystal.

Cell and atoms, written as extended XYZ:
```
5
Lattice="5.532 0.000 0.000 0.000 5.532 0.000 0.000 0.000 5.532" Properties=species:S:1:pos:R:3 pbc="T T T"
In 0.000 0.000 2.766
In 0.000 2.766 0.000
In 2.766 0.000 0.000
Ge 0.000 0.000 0.000
F 2.766 2.766 2.766
```

Output
The distance to the lowest polymorph of the same formula comes out at 7.33 kcal/mol of atoms. As for the symmetry: Pm-3m, No. 221. For the density of states at the Fermi level, the calculation gives 2.758 states/eV/cell. The value obtained for the energy relative to the elements, uncorrected is -0.020 eV per atom.


# 14
The following is a DFT calculation (PBE) of a relaxed InGeF crystal.

Cell and atoms, written as extended XYZ:
```
6
Lattice="-1.451 2.427 9.102 1.451 -2.427 9.102 1.451 2.427 -9.102" Properties=species:S:1:pos:R:3 pbc="T T T"
In 0.000 0.000 3.132
In 0.000 0.000 15.072
Ge 0.000 1.233 0.000
Ge 0.000 3.621 0.000
F 0.000 0.000 5.342
F 0.000 0.000 12.863
```

Output
As for the symmetry: Immm, No. 71. For the density of states at the Fermi level, the calculation gives 2.709 states/eV/cell. The value obtained for the energy relative to the elements, uncorrected is -0.771 eV per atom.


# 15
The following is a DFT calculation (PBE) of a relaxed InGe2F crystal.

Cell and atoms, written as extended XYZ:
```
4
Lattice="0.000 3.322 3.322 3.322 0.000 3.322 3.322 3.322 0.000" Properties=species:S:1:pos:R:3 pbc="T T T"
In 0.000 0.000 0.000
Ge 1.661 1.661 1.661
Ge 4.984 4.984 4.984
F 3.322 3.322 3.322
```

Output
The distance to the lowest polymorph of the same formula comes out at 1.23 kcal/mol of atoms. As for the symmetry: Fm-3m, No. 225. For the density of states at the Fermi level, the calculation gives 0.201 states/eV/cell. The value obtained for the energy relative to the elements, uncorrected is -0.317 eV per atom.


# 16
The following is a DFT calculation (PBE) of a relaxed InGeNF2 crystal.

Cell and atoms, written as extended XYZ:
```
5
Lattice="4.244 0.000 0.000 0.000 4.244 0.000 0.000 0.000 4.256" Properties=species:S:1:pos:R:3 pbc="T T T"
In 0.000 0.000 0.000
Ge 2.122 2.122 2.128
N 0.000 0.000 2.128
F 0.000 2.122 0.000
F 2.122 0.000 0.000
```

Output
The distance to the lowest polymorph of the same formula comes out at 4.72 kcal/mol of atoms. As for the symmetry: P4/mmm, No. 123. For the density of states at the Fermi level, the calculation gives 0.446 states/eV/cell. The value obtained for the energy relative to the elements, uncorrected is -0.589 eV per atom.


# 17
The following is a DFT calculation (PBE) of a relaxed InGeNF2 crystal.

Cell and atoms, written as extended XYZ:
```
5
Lattice="4.525 0.000 0.000 0.000 4.525 0.000 0.000 0.000 3.464" Properties=species:S:1:pos:R:3 pbc="T T T"
In 0.000 0.000 0.000
Ge 2.262 2.262 1.732
N 2.262 2.262 0.000
F 0.000 2.262 1.732
F 2.262 0.000 1.732
```

Output
The distance to the lowest polymorph of the same formula comes out at 0.00 kcal/mol of atoms. As for the symmetry: P4/mmm, No. 123. For the density of states at the Fermi level, the calculation gives 0.456 states/eV/cell. The value obtained for the energy relative to the elements, uncorrected is -0.794 eV per atom.


# 18
The following is a DFT calculation (PBE) of a relaxed NbInGeF2 crystal.

Cell and atoms, written as extended XYZ:
```
5
Lattice="4.191 0.000 0.000 0.000 4.191 0.000 0.000 0.000 5.471" Properties=species:S:1:pos:R:3 pbc="T T T"
Nb 0.000 0.000 0.000
In 2.096 2.096 2.735
Ge 0.000 0.000 2.735
F 0.000 2.096 0.000
F 2.096 0.000 0.000
```

Output
As for the symmetry: P4/mmm, No. 123. For the density of states at the Fermi level, the calculation gives 3.266 states/eV/cell. The value obtained for the energy relative to the elements, uncorrected is -1.191 eV per atom.